# LaGa2OsO8

A relaxed LaGa2OsO8 crystal (PBE, Alexandria via LeMat-Bulk).

It has space group C2/m (No. 12), with a = 7.4031 Å, b = 6.2573 Å, c = 6.9068 Å, α = 90.00°, β = 99.37° and γ = 90.00°. The distinct sites, in fractional coordinates, are La at (0.0000, 0.0000, 0.0000), Ga at (0.0425, 0.5000, 0.2156), Os at (0.0000, 0.0000, 0.5000), O at (0.0024, 0.2122, 0.2935), O at (0.1731, 0.5000, 0.9993) and O at (0.2478, 0.0000, 0.5520).

The mass density is 6276 kg/m³. The calculation puts the total energy at -165.3 eV per cell. The value obtained for the density of states at the Fermi level is 2.216 states/eV/f.u. For the spin magnetization, the calculation gives 1.46 μB per cell.

# K2MoBr

A relaxed K2MoBr crystal (PBE, Alexandria via LeMat-Bulk).

It has space group R3m (No. 160, hexagonal axes), with a = 4.6856 Å, b = 4.6856 Å, c = 30.3344 Å, α = 90.00°, β = 90.00° and γ = 120.00°. The distinct sites, in fractional coordinates, are K at (0.0000, 0.0000, 0.0000), K at (0.0000, 0.0000, 0.1955), Mo at (0.0000, 0.0000, 0.4459) and Br at (0.0000, 0.0000, 0.7271).

The mass density is 2194 kg/m³. The calculation puts the total energy at -37.0 eV per cell. The value obtained for the density of states at the Fermi level is 1.024 states/eV/f.u. As for the distance to the lowest polymorph of the same formula: 251 meV per atom. For the spin magnetization, the calculation gives 17.30 μB per cell.

# SiSN

A relaxed SiSN crystal (PBE, Alexandria via LeMat-Bulk).

It has space group C2/m (No. 12), with a = 14.0067 Å, b = 2.9085 Å, c = 6.6234 Å, α = 90.00°, β = 116.57° and γ = 90.00°. The distinct sites, in fractional coordinates, are Si at (0.1806, 0.0000, 0.0103), S at (0.1083, 0.0000, 0.2340) and N at (0.1707, 0.5000, 0.8664).

The mass density is 2041 kg/m³. The calculation puts the total energy at -75.0 eV per cell. The value obtained for the density of states at the Fermi level is 0.717 states/eV/f.u. As for the distance to the lowest polymorph of the same formula: 207 meV per atom. For the spin magnetization, the calculation gives 0.00 μB per cell.

# YCo2Ni

A relaxed YCo2Ni crystal (PBE, Alexandria via LeMat-Bulk).

It has space group I-42d (No. 122), with a = 4.0728 Å, b = 4.0728 Å, c = 16.7046 Å, α = 90.00°, β = 90.00° and γ = 90.00°. The distinct sites, in fractional coordinates, are Y at (0.0000, 0.0000, 0.0000), Co at (0.1017, 0.2500, 0.6250) and Ni at (0.0000, 0.0000, 0.5000).

The mass density is 6364 kg/m³. The energy of formation is 0.220 eV/atom. The calculation puts the total energy at -102.3 eV per cell. The value obtained for the density of states at the Fermi level is 7.860 states/eV/f.u. For the spin magnetization, the calculation gives 10.77 μB per cell.